Ag2IrAu | GGA-PBE | relaxed

Values from the calculation:
The calculation puts the total magnetization at 0.06 μB per atom. As for the crystal system: orthorhombic. As for the calculated formation energy: 0.2937 eV per atom.

CIF file:
```
data_Ag2IrAu
_chemical_formula_sum 'Ag4 Ir2 Au2'
_space_group_name_H-M_alt 'I m m m'
_space_group_IT_number 71
_space_group_name_Hall '-I 2 2'
_cell_length_a 2.804
_cell_length_b 4.888
_cell_length_c 9.961
_cell_angle_alpha 90.00
_cell_angle_beta 90.00
_cell_angle_gamma 90.00
loop_
_atom_site_label
_atom_site_fract_x
_atom_site_fract_y
_atom_site_fract_z
Ag1 0.000 0.000 0.245
Ir1 0.000 0.500 0.500
Au1 0.000 0.500 0.000
```



NaSrAg2F8 | GGA-PBE | relaxed

Values from the calculation:
The uncorrected formation energy comes out at -2.0338 eV/atom. The calculation puts the total magnetization at 0.09 μB per atom. As for the crystal system: tetragonal.

CIF file:
```
data_NaSrAg2F8
_chemical_formula_sum 'Na2 Sr2 Ag4 F16'
_space_group_name_H-M_alt 'I -4'
_space_group_IT_number 82
_space_group_name_Hall 'I -4'
_cell_length_a 5.943
_cell_length_b 5.943
_cell_length_c 9.989
_cell_angle_alpha 90.00
_cell_angle_beta 90.00
_cell_angle_gamma 90.00
loop_
_atom_site_label
_atom_site_fract_x
_atom_site_fract_y
_atom_site_fract_z
Na1 0.000 0.000 0.000
Sr1 0.000 0.500 0.250
Ag1 0.000 0.000 0.500
Ag2 0.000 0.500 0.750
F1 0.125 0.818 0.771
F2 0.132 0.317 0.478
```



ErCd6 | GGA-PBE | relaxed

Values from the calculation:
The calculation puts the total magnetization at 0.00 μB per atom. As for the crystal system: orthorhombic. As for the calculated formation energy: -0.0814 eV per atom.

CIF file:
```
data_ErCd6
_chemical_formula_sum 'Er4 Cd24'
_space_group_name_H-M_alt 'P n m a'
_space_group_IT_number 62
_space_group_name_Hall '-P 2ac 2n'
_cell_length_a 9.204
_cell_length_b 6.046
_cell_length_c 11.684
_cell_angle_alpha 90.00
_cell_angle_beta 90.00
_cell_angle_gamma 90.00
loop_
_atom_site_label
_atom_site_fract_x
_atom_site_fract_y
_atom_site_fract_z
Er1 0.242 0.250 0.061
Cd1 0.062 0.750 0.081
Cd2 0.063 0.015 0.310
Cd3 0.109 0.250 0.525
Cd4 0.137 0.750 0.847
Cd5 0.190 0.250 0.768
```



Sc3AsPO | GGA-PBE | relaxed

Values from the calculation:
The uncorrected formation energy comes out at -1.8723 eV/atom. The calculation puts the total magnetization at 0.00 μB per atom. As for the crystal system: monoclinic.

CIF file:
```
data_Sc3AsPO
_chemical_formula_sum 'Sc6 As2 P2 O2'
_space_group_name_H-M_alt 'P 1 21/m 1'
_space_group_IT_number 11
_space_group_name_Hall '-P 2yb'
_cell_length_a 7.748
_cell_length_b 3.725
_cell_length_c 8.041
_cell_angle_alpha 90.00
_cell_angle_beta 99.19
_cell_angle_gamma 90.00
loop_
_atom_site_label
_atom_site_fract_x
_atom_site_fract_y
_atom_site_fract_z
Sc1 0.093 0.250 0.347
Sc2 0.331 0.250 0.993
Sc3 0.387 0.750 0.650
As1 0.335 0.750 0.292
P1 0.148 0.250 0.673
O1 0.404 0.750 0.913
```



NaLiScB2 | GGA-PBE | relaxed

Values from the calculation:
The calculation puts the total magnetization at 0.00 μB per atom. As for the crystal system: tetragonal. As for the calculated formation energy: 1.8418 eV per atom.

CIF file:
```
data_NaLiScB2
_chemical_formula_sum 'Na1 Li1 Sc1 B2'
_space_group_name_H-M_alt 'P 4/m m m'
_space_group_IT_number 123
_space_group_name_Hall '-P 4 2'
_cell_length_a 4.421
_cell_length_b 4.421
_cell_length_c 4.554
_cell_angle_alpha 90.00
_cell_angle_beta 90.00
_cell_angle_gamma 90.00
loop_
_atom_site_label
_atom_site_fract_x
_atom_site_fract_y
_atom_site_fract_z
Na1 0.000 0.000 0.000
Li1 0.500 0.500 0.500
Sc1 0.000 0.000 0.500
B1 0.000 0.500 0.000
```



SmPu2WN4 | GGA-PBE | relaxed

Values from the calculation:
The uncorrected formation energy comes out at -0.9317 eV/atom. The calculation puts the total magnetization at 1.13 μB per atom. As for the crystal system: orthorhombic.

CIF file:
```
data_SmPu2WN4
_chemical_formula_sum 'Sm4 Pu8 W4 N16'
_space_group_name_H-M_alt 'C m c m'
_space_group_IT_number 63
_space_group_name_Hall '-C 2c 2'
_cell_length_a 3.389
_cell_length_b 11.811
_cell_length_c 11.814
_cell_angle_alpha 90.00
_cell_angle_beta 90.00
_cell_angle_gamma 90.00
loop_
_atom_site_label
_atom_site_fract_x
_atom_site_fract_y
_atom_site_fract_z
Sm1 0.000 0.109 0.250
Pu1 0.000 0.368 0.043
W1 0.000 0.152 0.750
N1 0.000 0.000 0.000
N2 0.000 0.265 0.625
N3 0.000 0.453 0.250
```



TeAs4Se | GGA-PBE | relaxed

Values from the calculation:
The uncorrected formation energy comes out at 0.5414 eV/atom. The calculation puts the total magnetization at 0.00 μB per atom. As for the crystal system: cubic.

CIF file:
```
data_TeAs4Se
_chemical_formula_sum 'Te4 As16 Se4'
_space_group_name_H-M_alt 'F -4 3 m'
_space_group_IT_number 216
_space_group_name_Hall 'F -4 2 3'
_cell_length_a 8.176
_cell_length_b 8.176
_cell_length_c 8.176
_cell_angle_alpha 90.00
_cell_angle_beta 90.00
_cell_angle_gamma 90.00
loop_
_atom_site_label
_atom_site_fract_x
_atom_site_fract_y
_atom_site_fract_z
Te1 0.000 0.000 0.000
As1 0.112 0.112 0.612
Se1 0.250 0.250 0.250
```



MnOsI | GGA-PBE | relaxed

Values from the calculation:
The uncorrected formation energy comes out at 0.8828 eV/atom. The calculation puts the total magnetization at 0.71 μB per atom. As for the crystal system: orthorhombic.

CIF file:
```
data_MnOsI
_chemical_formula_sum 'Mn4 Os4 I4'
_space_group_name_H-M_alt 'A m m 2'
_space_group_IT_number 38
_space_group_name_Hall 'A 2 -2'
_cell_length_a 10.804
_cell_length_b 3.613
_cell_length_c 6.258
_cell_angle_alpha 90.00
_cell_angle_beta 90.00
_cell_angle_gamma 90.00
loop_
_atom_site_label
_atom_site_fract_x
_atom_site_fract_y
_atom_site_fract_z
Mn1 0.000 0.000 0.000
Mn2 0.500 0.000 0.002
Os1 0.382 0.000 0.335
I1 0.185 0.000 0.665
```



SmHoSi2Pd5 | GGA-PBE | relaxed

Values from the calculation:
The uncorrected formation energy comes out at -0.9131 eV/atom. The calculation puts the total magnetization at 0.00 μB per atom. As for the crystal system: tetragonal.

CIF file:
```
data_SmHoSi2Pd5
_chemical_formula_sum 'Sm1 Ho1 Si2 Pd5'
_space_group_name_H-M_alt 'P 4/m m m'
_space_group_IT_number 123
_space_group_name_Hall '-P 4 2'
_cell_length_a 4.196
_cell_length_b 4.196
_cell_length_c 9.009
_cell_angle_alpha 90.00
_cell_angle_beta 90.00
_cell_angle_gamma 90.00
loop_
_atom_site_label
_atom_site_fract_x
_atom_site_fract_y
_atom_site_fract_z
Sm1 0.000 0.000 0.000
Ho1 0.000 0.000 0.500
Si1 0.500 0.500 0.370
Pd1 0.000 0.500 0.235
Pd2 0.500 0.500 0.000
```



RbHfB2 | GGA-PBE | relaxed

Values from the calculation:
The calculation puts the total magnetization at 0.00 μB per atom. As for the crystal system: cubic. As for the calculated formation energy: 1.7229 eV per atom.

CIF file:
```
data_RbHfB2
_chemical_formula_sum 'Rb4 Hf4 B8'
_space_group_name_H-M_alt 'F m -3 m'
_space_group_IT_number 225
_space_group_name_Hall '-F 4 2 3'
_cell_length_a 6.532
_cell_length_b 6.532
_cell_length_c 6.532
_cell_angle_alpha 90.00
_cell_angle_beta 90.00
_cell_angle_gamma 90.00
loop_
_atom_site_label
_atom_site_fract_x
_atom_site_fract_y
_atom_site_fract_z
Rb1 0.000 0.000 0.000
Hf1 0.000 0.000 0.500
B1 0.250 0.250 0.250
```



KZrCo2 | GGA-PBE | relaxed

Values from the calculation:
The calculation puts the total magnetization at 0.59 μB per atom. As for the crystal system: tetragonal. As for the calculated formation energy: 0.4568 eV per atom.

CIF file:
```
data_KZrCo2
_chemical_formula_sum 'K1 Zr1 Co2'
_space_group_name_H-M_alt 'P 4 m m'
_space_group_IT_number 99
_space_group_name_Hall 'P 4 -2'
_cell_length_a 3.199
_cell_length_b 3.199
_cell_length_c 8.568
_cell_angle_alpha 90.00
_cell_angle_beta 90.00
_cell_angle_gamma 90.00
loop_
_atom_site_label
_atom_site_fract_x
_atom_site_fract_y
_atom_site_fract_z
K1 0.000 0.000 0.000
Zr1 0.500 0.500 0.415
Co1 0.000 0.000 0.602
Co2 0.500 0.500 0.696
```



LaRe2Sb | GGA-PBE | relaxed

Values from the calculation:
The uncorrected formation energy comes out at 0.6285 eV/atom. The calculation puts the total magnetization at 0.00 μB per atom. As for the crystal system: orthorhombic.

CIF file:
```
data_LaRe2Sb
_chemical_formula_sum 'La1 Re2 Sb1'
_space_group_name_H-M_alt 'P m m m'
_space_group_IT_number 47
_space_group_name_Hall '-P 2 2'
_cell_length_a 3.220
_cell_length_b 4.225
_cell_length_c 6.358
_cell_angle_alpha 90.00
_cell_angle_beta 90.00
_cell_angle_gamma 90.00
loop_
_atom_site_label
_atom_site_fract_x
_atom_site_fract_y
_atom_site_fract_z
La1 0.000 0.000 0.000
Re1 0.500 0.500 0.312
Sb1 0.000 0.000 0.500
```